Here is FeOsRh2 at its PBEsol-relaxed geometry from the Alexandria database. Energies are from SCAN.

## Properties
ΔH_f (0 K)   -29 meV/atom
Total DFT energy (no corrections)   -39.42 eV per atom
Space group   Pmmm, No. 47
Distance to the lowest polymorph of the same formula   0.011 eV/atom
Fermi-level density of states   0.739 states/eV per atom
Density   14.35 g/cm³

Unit cell a=2.6642 b=3.7408 c=5.2484 alpha=90.00 beta=90.00 gamma=90.00
With the nearest neighbours (Å) after each atom.
Element x y z (fractional)
1 Rh 0.0000 0.0000 0.2482  4 Rh 2.61-2.66, 4 Fe 2.64, 4 Os 2.65
2 Rh 0.0000 0.0000 0.7518  4 Rh 2.61-2.66, 4 Fe 2.64, 4 Os 2.65
3 Fe 0.5000 0.5000 0.0000  2 Os 2.62, 8 Rh 2.64, 2 Fe 2.66
4 Os 0.5000 0.5000 0.5000  2 Fe 2.62, 8 Rh 2.65, 2 Os 2.66